[1]
{"formula": "Dy6BiP2Se3", "functional": "GGA-PBE", "state": "relaxed", "e_tot_ev_per_cell": -71.84, "formation_energy_uncorrected_ev_per_atom": -1.59, "spacegroup": "No. 12", "vol_a3_per_atom": 24.94, "lattice": [[4.102, 0.000, 0.000], [0.000, 8.310, 0.319], [-2.051, -2.371, 8.687]], "species": ["P", "Dy", "Se", "Se", "Bi", "Se", "P", "Dy", "Dy", "Dy", "Dy", "Dy"], "frac_coords": [[0.169, 0.338, 0.337], [0.325, 0.889, 0.651], [0.500, 0.500, 0.000], [0.162, 0.834, 0.325], [0.500, 0.000, 0.000], [0.838, 0.166, 0.675], [0.831, 0.662, 0.663], [0.989, 0.730, 0.979], [0.675, 0.111, 0.349], [0.327, 0.427, 0.653], [0.011, 0.270, 0.021], [0.673, 0.573, 0.347]]}

=====

[2]
{"formula": "Sr2Dy2Bi2P", "functional": "GGA-PBE", "state": "relaxed", "e_tot_ev_per_cell": -32.69, "formation_enthalpy_0k_ev_per_atom": -0.994, "spacegroup": "No. 139", "vol_a3_per_atom": 34.36, "lattice": [[-2.673, -4.492, 0.739], [1.573, -0.107, 5.038], [-6.434, 6.831, -0.612]], "species": ["Bi", "Sr", "Bi", "Sr", "P", "Dy", "Dy"], "frac_coords": [[0.372, 0.372, 0.744], [0.827, 0.827, 0.654], [0.628, 0.628, 0.256], [0.173, 0.173, 0.346], [0.000, 0.000, 0.000], [0.500, 0.000, 0.000], [0.000, 0.500, 0.000]]}

=====

[3]
{"formula": "Dy4Bi2TeP", "functional": "GGA-PBE", "state": "relaxed", "e_tot_ev_per_cell": -43.86, "formation_energy_uncorrected_ev_per_atom": -1.14, "spacegroup": "No. 10", "vol_a3_per_atom": 28.65, "lattice": [[-0.930, 0.003, 4.201], [5.950, -4.388, 1.319], [2.099, 7.194, 0.459]], "species": ["Te", "P", "Dy", "Bi", "Bi", "Dy", "Dy", "Dy"], "frac_coords": [[0.500, 0.500, 0.000], [0.000, 0.000, 0.000], [0.000, 0.765, 0.237], [0.500, 0.000, 0.500], [0.000, 0.500, 0.500], [0.500, 0.227, 0.227], [0.000, 0.235, 0.763], [0.500, 0.773, 0.773]]}

=====

[4]
{"formula": "Dy4BiTe2P", "functional": "GGA-PBE", "state": "relaxed", "e_tot_ev_per_cell": -44.30, "formation_energy_uncorrected_ev_per_atom": -1.29, "spacegroup": "No. 10", "vol_a3_per_atom": 28.31, "lattice": [[4.260, 0.000, 0.000], [0.000, 7.487, -0.174], [0.000, 2.612, 7.039]], "species": ["Dy", "Te", "Dy", "Dy", "P", "Bi", "Te", "Dy"], "frac_coords": [[0.500, 0.282, 0.719], [0.500, 0.000, 0.500], [0.000, 0.270, 0.269], [0.000, 0.730, 0.731], [0.000, 0.500, 0.500], [0.500, 0.500, 0.000], [0.000, 0.000, 0.000], [0.500, 0.718, 0.281]]}

=====

[5]
{"formula": "Dy6BiTe3P2", "functional": "GGA-PBE", "state": "relaxed", "e_tot_ev_per_cell": -68.39, "formation_energy_uncorrected_ev_per_atom": -1.39, "spacegroup": "No. 12", "vol_a3_per_atom": 27.47, "lattice": [[-1.277, 2.764, -2.900], [1.725, -5.731, -6.223], [-8.280, -3.088, 3.752]], "species": ["Bi", "Dy", "Dy", "Dy", "Te", "Te", "Te", "P", "Dy", "P", "Dy", "Dy"], "frac_coords": [[0.500, 0.000, 0.000], [0.323, 0.435, 0.645], [0.018, 0.261, 0.037], [0.327, 0.876, 0.655], [0.500, 0.500, 0.000], [0.160, 0.834, 0.320], [0.840, 0.166, 0.680], [0.170, 0.339, 0.340], [0.673, 0.124, 0.345], [0.830, 0.661, 0.660], [0.677, 0.565, 0.355], [0.982, 0.739, 0.963]]}

=====

[6]
{"formula": "Dy2Tm2Bi2P", "functional": "GGA-PBE", "state": "relaxed", "e_tot_ev_per_cell": -36.60, "formation_enthalpy_0k_ev_per_atom": -0.755, "spacegroup": "No. 139", "vol_a3_per_atom": 29.75, "lattice": [[5.082, 0.000, 0.000], [0.000, 5.082, 0.000], [-2.541, -2.541, 8.064]], "species": ["Dy", "P", "Dy", "Tm", "Bi", "Bi", "Tm"], "frac_coords": [[0.834, 0.834, 0.669], [0.000, 0.000, 0.000], [0.166, 0.166, 0.331], [0.500, 0.000, 0.000], [0.363, 0.363, 0.725], [0.637, 0.637, 0.275], [0.000, 0.500, 0.000]]}

=====

[7]
{"formula": "DyPaBi", "functional": "GGA-PBE", "state": "relaxed", "e_tot_ev_per_cell": -36.66, "formation_enthalpy_0k_ev_per_atom": -0.117, "spacegroup": "No. 71", "vol_a3_per_atom": 29.16, "lattice": [[-2.536, 3.308, -4.913], [0.850, -0.688, -6.350], [-3.115, -5.269, 7.315]], "species": ["Dy", "Pa", "Dy", "Pa", "Bi", "Bi"], "frac_coords": [[0.248, 0.248, 0.748], [0.000, 0.000, 0.865], [0.752, 0.752, 0.252], [0.000, 0.000, 0.135], [0.500, 0.500, 0.680], [0.500, 0.500, 0.320]]}

=====

[8]
{"formula": "Dy3PaBi4", "functional": "GGA-PBE", "state": "relaxed", "e_tot_ev_per_cell": -44.02, "formation_enthalpy_0k_ev_per_atom": -0.650, "spacegroup": "No. 139", "vol_a3_per_atom": 31.70, "lattice": [[5.789, 0.005, -2.566], [-1.143, 5.676, -2.566], [-0.029, -0.035, 7.749]], "species": ["Bi", "Bi", "Dy", "Bi", "Dy", "Pa", "Dy", "Bi"], "frac_coords": [[0.500, 0.000, 0.000], [0.751, 0.751, 0.502], [0.250, 0.750, 0.500], [0.249, 0.249, 0.498], [0.500, 0.500, 0.000], [0.000, 0.000, 0.000], [0.750, 0.250, 0.500], [0.000, 0.500, 0.000]]}

=====

[9]
{"formula": "Dy5Pa3Bi12", "functional": "GGA-PBE", "state": "relaxed", "e_tot_ev_per_cell": -395.52, "formation_enthalpy_0k_ev_per_atom": -0.040, "spacegroup": "No. 230", "vol_a3_per_atom": 38.16, "lattice": [[15.828, 0.000, 0.000], [-5.276, 14.923, 0.000], [-5.276, -7.462, 12.924]], "species": ["Dy", "Bi", "Dy", "Dy", "Pa", "Bi", "Bi", "Bi", "Dy", "Bi", "Bi", "Dy", "Dy", "Bi", "Bi", "Pa", "Bi", "Pa", "Bi", "Bi", "Bi", "Bi", "Bi", "Bi", "Bi", "Dy", "Bi", "Bi", "Dy", "Bi", "Bi", "Dy", "Bi", "Bi", "Bi", "Dy", "Dy", "Bi", "Bi", "Bi", "Pa", "Dy", "Dy", "Bi", "Dy", "Bi", "Bi", "Dy", "Bi", "Dy", "Bi", "Pa", "Bi", "Dy", "Bi", "Bi", "Bi", "Pa", "Bi", "Pa", "Bi", "Pa", "Dy", "Bi", "Bi", "Pa", "Bi", "Pa", "Bi", "Dy", "Pa", "Bi", "Bi", "Bi", "Bi", "Bi", "Dy", "Bi", "Pa", "Bi"], "frac_coords": [[0.250, 0.875, 0.125], [0.673, 0.437, 0.572], [0.000, 0.000, 0.500], [0.500, 0.000, 0.000], [0.250, 0.625, 0.875], [0.063, 0.636, 0.736], [0.072, 0.173, 0.437], [0.636, 0.572, 0.899], [0.750, 0.625, 0.375], [0.572, 0.636, 0.399], [0.736, 0.136, 0.063], [0.875, 0.625, 0.750], [0.500, 0.000, 0.500], [0.437, 0.764, 0.864], [0.899, 0.072, 0.636], [0.750, 0.875, 0.625], [0.937, 0.572, 0.173], [0.875, 0.750, 0.125], [0.572, 0.937, 0.673], [0.364, 0.428, 0.101], [0.327, 0.764, 0.399], [0.937, 0.364, 0.264], [0.864, 0.601, 0.928], [0.673, 0.236, 0.601], [0.264, 0.399, 0.827], [0.625, 0.750, 0.875], [0.827, 0.928, 0.063], [0.173, 0.101, 0.736], [0.125, 0.750, 0.375], [0.764, 0.437, 0.364], [0.136, 0.736, 0.563], [0.750, 0.125, 0.875], [0.563, 0.327, 0.928], [0.928, 0.101, 0.864], [0.601, 0.864, 0.428], [0.125, 0.375, 0.250], [0.625, 0.875, 0.250], [0.437, 0.673, 0.072], [0.764, 0.327, 0.899], [0.173, 0.072, 0.937], [0.125, 0.250, 0.875], [0.250, 0.375, 0.625], [0.000, 0.000, 0.000], [0.101, 0.173, 0.236], [0.000, 0.500, 0.000], [0.063, 0.428, 0.827], [0.399, 0.136, 0.572], [0.875, 0.250, 0.625], [0.236, 0.563, 0.636], [0.500, 0.500, 0.500], [0.136, 0.399, 0.072], [0.250, 0.125, 0.375], [0.636, 0.063, 0.236], [0.375, 0.125, 0.750], [0.601, 0.736, 0.673], [0.428, 0.364, 0.601], [0.928, 0.827, 0.563], [0.625, 0.250, 0.375], [0.563, 0.236, 0.136], [0.750, 0.375, 0.125], [0.364, 0.937, 0.764], [0.125, 0.875, 0.750], [0.500, 0.500, 0.000], [0.827, 0.899, 0.264], [0.264, 0.864, 0.937], [0.875, 0.125, 0.250], [0.072, 0.899, 0.136], [0.375, 0.625, 0.250], [0.399, 0.264, 0.327], [0.000, 0.500, 0.500], [0.625, 0.375, 0.750], [0.428, 0.063, 0.327], [0.899, 0.827, 0.764], [0.327, 0.563, 0.428], [0.864, 0.264, 0.437], [0.101, 0.928, 0.364], [0.375, 0.250, 0.125], [0.736, 0.601, 0.173], [0.375, 0.750, 0.625], [0.236, 0.673, 0.101]]}

=====

[10]
{"formula": "Dy2PaBi", "functional": "GGA-PBE", "state": "relaxed", "e_tot_ev_per_cell": -22.15, "formation_enthalpy_0k_ev_per_atom": 0.108, "spacegroup": "No. 166", "vol_a3_per_atom": 30.59, "lattice": [[-2.412, 0.954, 2.268], [-2.332, -2.286, 1.098], [5.633, -3.502, 10.079]], "species": ["Dy", "Bi", "Dy", "Pa"], "frac_coords": [[0.090, 0.090, 0.730], [0.000, 0.000, 0.000], [0.910, 0.910, 0.270], [0.500, 0.500, 0.500]]}

=====

[11]
{"formula": "DyPaBi6", "functional": "GGA-PBE", "state": "relaxed", "e_tot_ev_per_cell": -38.93, "formation_enthalpy_0k_ev_per_atom": -0.193, "spacegroup": "No. 38", "vol_a3_per_atom": 31.81, "lattice": [[4.389, 0.000, -0.754], [0.000, 4.550, 0.000], [-0.068, 0.000, 12.756]], "species": ["Bi", "Dy", "Pa", "Bi", "Bi", "Bi", "Bi", "Bi"], "frac_coords": [[0.419, 0.000, 0.838], [0.823, 0.000, 0.646], [0.173, 0.500, 0.347], [0.301, 0.500, 0.601], [0.694, 0.000, 0.387], [0.071, 0.000, 0.142], [0.573, 0.500, 0.146], [0.947, 0.500, 0.894]]}

=====

[12]
{"formula": "DyPaBi", "functional": "GGA-PBE", "state": "relaxed", "e_tot_ev_per_cell": -18.08, "formation_enthalpy_0k_ev_per_atom": -0.035, "spacegroup": "No. 107", "vol_a3_per_atom": 29.16, "lattice": [[3.979, 0.000, 0.000], [0.000, 3.979, 0.000], [-1.990, -1.990, 5.524]], "species": ["Pa", "Dy", "Bi"], "frac_coords": [[0.939, 0.939, 0.879], [0.630, 0.630, 0.261], [0.280, 0.280, 0.560]]}